CrMo2Ir, optimized geometry, DFT PBE; DOS(E_F) = 5.347 states/eV/cell; VASP energy = -9.966 eV per atom
1.0
4.797 -0.010 0.000
1.699 4.486 0.000
-3.248 -2.238 2.730
Cr Ir Mo
1 1 2
direct
0.500 0.500 0.000
0.750 0.250 0.500
0.000 0.000 0.000
0.250 0.750 0.500

***

Ba2GaReIr, optimized geometry, DFT PBE; DOS(E_F) = 5.504 states/eV/cell; VASP energy = -4.934 eV per atom
1.0
-1.090 -5.274 2.700
3.831 0.584 2.688
-3.340 2.814 4.150
Re Ir Ba Ga
1 1 2 1
direct
0.000 0.000 0.000
0.000 0.500 0.000
0.000 0.000 0.500
0.500 0.000 0.000
0.500 0.500 0.500

***

ZnNiBRh2, optimized geometry, DFT PBE; DOS(E_F) = 5.152 states/eV/cell; VASP energy = -5.915 eV per atom
1.0
-1.012 -2.771 -2.786
3.035 1.277 -2.372
2.342 -2.509 1.645
Ni Zn B Rh
1 1 1 2
direct
0.000 0.000 0.500
0.500 0.500 0.500
0.000 0.000 0.000
0.000 0.500 0.000
0.500 0.000 0.000

***

Ce4HoPu, optimized geometry, DFT PBE; DOS(E_F) = 19.059 states/eV/cell; VASP energy = -6.848 eV per atom
1.0
6.168 0.000 0.000
3.084 5.342 0.000
3.084 1.781 5.036
Ho Ce Pu
1 4 1
direct
0.250 0.250 0.250
0.623 0.623 0.130
0.623 0.130 0.623
0.623 0.623 0.623
0.130 0.623 0.623
0.000 0.000 0.000

***

MgCo2Ru, optimized geometry, DFT PBE; DOS(E_F) = 6.547 states/eV/cell; VASP energy = -5.695 eV per atom
1.0
6.805 0.000 0.000
0.000 6.805 0.000
3.402 3.402 2.573
Ru Mg Co
2 2 4
direct
0.000 0.000 0.000
0.750 0.250 0.500
0.500 0.500 0.000
0.250 0.750 0.500
0.659 0.125 0.250
0.091 0.625 0.250
0.375 0.341 0.750
0.875 0.909 0.750

***

Al2InMo, optimized geometry, DFT PBE; DOS(E_F) = 2.099 states/eV/cell; VASP energy = -5.168 eV per atom
1.0
2.874 0.261 0.000
-0.286 2.871 0.000
0.000 0.000 8.722
Mo Al In
1 2 1
direct
0.500 0.500 0.750
0.000 0.000 0.966
0.000 0.000 0.534
0.500 0.500 0.250

***

LiBeIn, optimized geometry, DFT PBE; DOS(E_F) = 0.641 states/eV/cell; VASP energy = -2.622 eV per atom
1.0
-4.330 -0.051 -1.874
-0.467 -1.934 -4.279
1.495 -0.886 4.387
Be In Li
1 1 1
direct
0.004 0.004 0.000
0.333 0.333 0.000
0.663 0.663 0.000

***

PmHoTcAu, optimized geometry, DFT PBE; DOS(E_F) = 2.421 states/eV/cell; VASP energy = -6.035 eV per atom
1.0
-0.334 2.249 4.463
-0.250 -2.751 4.179
3.886 -0.115 3.160
Tc Au Ho Pm
1 1 1 1
direct
0.500 0.500 0.500
0.000 0.000 0.000
0.750 0.750 0.750
0.250 0.250 0.250